Entry 1:
Density functional theory data (PBE) for Be2Tl2Ni after structural relaxation.

Unit cell a=4.899 b=4.899 c=4.899 alpha=116.85 beta=116.85 gamma=95.55
Atoms (fractional coordinates):
Be: 0.163 0.163 0.000
Be: 0.837 0.837 0.000
Tl: 0.250 0.750 0.500
Tl: 0.750 0.250 0.500
Ni: 0.500 0.500 0.000

excess energy over the best structure of this formula in the dataset	80.8	meV/atom
space-group type	I4/mmm

Entry 2:
Density functional theory data (PBE) for BeTlNiW2 after structural relaxation.

Unit cell a=4.529 b=4.529 c=4.732 alpha=90.00 beta=90.00 gamma=90.00
Atoms (fractional coordinates):
Be: 0.000 0.000 0.000
Tl: 0.500 0.500 0.000
Ni: 0.500 0.500 0.500
W: 0.000 0.500 0.500
W: 0.500 0.000 0.500

space-group type	P4/mmm

Listing ΔE_f for the structures above in their given order: 614.4 1808.9 meV per atom.